Entry 1:
A plane-wave DFT calculation with PBE was carried out for crystalline La8PdAu3I4 at its relaxed geometry.

E = -0.3459 Ry/atom
E_form (uncorrected) = -1415 kJ/mol of formula units

```
data_La8PdAu3I4
_cell_length_a 8.795
_cell_length_b 9.476
_cell_length_c 8.799
_cell_angle_alpha 117.67
_cell_angle_beta 119.98
_cell_angle_gamma 90.00
_space_group_name_H-M_alt 'P 1'
_space_group_IT_number 1
loop_
_space_group_symop_operation_xyz
'x,y,z'
loop_
_atom_site_label
_atom_site_fract_x
_atom_site_fract_y
_atom_site_fract_z
_atom_site_occupancy
La1 0.232 0.707 0.465 1
La2 0.263 0.288 0.525 1
La3 0.737 0.712 0.475 1
La4 0.232 0.707 0.975 1
La5 0.257 0.293 0.025 1
La6 0.768 0.293 0.535 1
La7 0.768 0.293 0.025 1
La8 0.743 0.707 0.975 1
I1 0.000 0.000 0.500 1
I2 0.500 0.000 0.500 1
I3 0.500 0.000 0.000 1
I4 0.000 0.000 0.000 1
Au1 0.000 0.500 0.500 1
Au2 0.500 0.500 0.500 1
Au3 0.500 0.500 0.000 1
Pd1 0.000 0.500 0.000 1
```

Entry 2:
A plane-wave DFT calculation with PBE was carried out for crystalline La6Pd2AuI3 at its relaxed geometry.

E = -0.3618 Ry/atom
E_form (uncorrected) = -1080 kJ/mol of formula units

```
data_La6Pd2AuI3
_cell_length_a 7.550
_cell_length_b 7.550
_cell_length_c 8.536
_cell_angle_alpha 98.48
_cell_angle_beta 98.48
_cell_angle_gamma 120.02
_space_group_name_H-M_alt 'P 1'
_space_group_IT_number 1
loop_
_space_group_symop_operation_xyz
'x,y,z'
loop_
_atom_site_label
_atom_site_fract_x
_atom_site_fract_y
_atom_site_fract_z
_atom_site_occupancy
Au1 0.000 0.000 0.000 1
La1 0.275 0.275 0.803 1
La2 0.725 0.725 0.197 1
La3 0.934 0.593 0.802 1
La4 0.407 0.066 0.198 1
La5 0.066 0.407 0.198 1
La6 0.593 0.934 0.802 1
Pd1 0.667 0.333 0.000 1
Pd2 0.333 0.667 0.000 1
I1 0.165 0.835 0.500 1
I2 0.500 0.500 0.500 1
I3 0.835 0.165 0.500 1
```

Entry 3:
A plane-wave DFT calculation with PBE was carried out for crystalline LaPdAu2I at its relaxed geometry.

E = -0.2407 Ry/atom
E_form (uncorrected) = 179 kJ/mol of formula units

```
data_LaPdAu2I
_cell_length_a 5.629
_cell_length_b 5.428
_cell_length_c 5.629
_cell_angle_alpha 90.00
_cell_angle_beta 90.00
_cell_angle_gamma 90.00
_space_group_name_H-M_alt 'P 1'
_space_group_IT_number 1
loop_
_space_group_symop_operation_xyz
'x,y,z'
loop_
_atom_site_label
_atom_site_fract_x
_atom_site_fract_y
_atom_site_fract_z
_atom_site_occupancy
Pd1 0.000 0.500 0.000 1
I1 0.500 0.500 0.500 1
Au1 0.500 0.000 0.000 1
Au2 0.000 0.000 0.500 1
La1 0.000 0.000 0.000 1
```

Entry 4:
A plane-wave DFT calculation with PBE was carried out for crystalline LaPrAuI at its relaxed geometry.

E = -0.3304 Ry/atom
E_form (uncorrected) = -333 kJ/mol of formula units

```
data_LaPrAuI
_cell_length_a 4.325
_cell_length_b 4.327
_cell_length_c 8.628
_cell_angle_alpha 90.00
_cell_angle_beta 104.51
_cell_angle_gamma 120.02
_space_group_name_H-M_alt 'P 1'
_space_group_IT_number 1
loop_
_space_group_symop_operation_xyz
'x,y,z'
loop_
_atom_site_label
_atom_site_fract_x
_atom_site_fract_y
_atom_site_fract_z
_atom_site_occupancy
I1 0.969 0.383 0.367 1
Au1 0.304 0.550 0.869 1
Pr1 0.498 0.147 0.660 1
La1 0.107 0.951 0.074 1
```

Entry 5:
A plane-wave DFT calculation with PBE was carried out for crystalline La8PtAu3I4 at its relaxed geometry.

E = -0.3547 Ry/atom
E_form (uncorrected) = -1518 kJ/mol of formula units

```
data_La8PtAu3I4
_cell_length_a 8.780
_cell_length_b 9.528
_cell_length_c 8.797
_cell_angle_alpha 117.57
_cell_angle_beta 119.94
_cell_angle_gamma 90.00
_space_group_name_H-M_alt 'P 1'
_space_group_IT_number 1
loop_
_space_group_symop_operation_xyz
'x,y,z'
loop_
_atom_site_label
_atom_site_fract_x
_atom_site_fract_y
_atom_site_fract_z
_atom_site_occupancy
Au1 0.500 0.500 0.500 1
Au2 0.500 0.500 0.000 1
Au3 0.000 0.500 0.500 1
I1 0.500 0.000 0.000 1
I2 0.000 0.000 0.000 1
I3 0.000 0.000 0.500 1
I4 0.500 0.000 0.500 1
Pt1 0.000 0.500 0.000 1
La1 0.771 0.297 0.026 1
La2 0.745 0.703 0.974 1
La3 0.770 0.297 0.541 1
La4 0.737 0.710 0.474 1
La5 0.263 0.290 0.526 1
La6 0.230 0.703 0.459 1
La7 0.255 0.297 0.026 1
La8 0.229 0.703 0.974 1
```

Entry 6:
A plane-wave DFT calculation with PBE was carried out for crystalline La6Pt2AuI3 at its relaxed geometry.

E = -0.3858 Ry/atom
E_form (uncorrected) = -1295 kJ/mol of formula units

```
data_La6Pt2AuI3
_cell_length_a 7.561
_cell_length_b 7.561
_cell_length_c 8.574
_cell_angle_alpha 98.47
_cell_angle_beta 98.47
_cell_angle_gamma 119.98
_space_group_name_H-M_alt 'P 1'
_space_group_IT_number 1
loop_
_space_group_symop_operation_xyz
'x,y,z'
loop_
_atom_site_label
_atom_site_fract_x
_atom_site_fract_y
_atom_site_fract_z
_atom_site_occupancy
I1 0.164 0.836 0.500 1
I2 0.836 0.164 0.500 1
I3 0.500 0.500 0.500 1
La1 0.936 0.590 0.807 1
La2 0.064 0.410 0.193 1
La3 0.281 0.281 0.808 1
La4 0.410 0.064 0.193 1
La5 0.590 0.936 0.807 1
La6 0.719 0.719 0.192 1
Au1 0.000 0.000 0.000 1
Pt1 0.333 0.667 0.000 1
Pt2 0.667 0.333 0.000 1
```

Entry 7:
A plane-wave DFT calculation with PBE was carried out for crystalline Rb2LaAuI6 at its relaxed geometry.

E = -0.2253 Ry/atom
E_form (uncorrected) = -1082 kJ/mol of formula units

```
data_Rb2LaAuI6
_cell_length_a 8.629
_cell_length_b 8.629
_cell_length_c 8.785
_cell_angle_alpha 60.58
_cell_angle_beta 60.58
_cell_angle_gamma 90.00
_space_group_name_H-M_alt 'P 1'
_space_group_IT_number 1
loop_
_space_group_symop_operation_xyz
'x,y,z'
loop_
_atom_site_label
_atom_site_fract_x
_atom_site_fract_y
_atom_site_fract_z
_atom_site_occupancy
I1 0.242 0.758 0.000 1
I2 0.749 0.749 0.502 1
I3 0.758 0.758 0.000 1
I4 0.758 0.242 0.000 1
I5 0.251 0.251 0.498 1
I6 0.242 0.242 0.000 1
Au1 0.000 0.000 0.000 1
Rb1 0.250 0.750 0.500 1
Rb2 0.750 0.250 0.500 1
La1 0.500 0.500 0.000 1
```

Entry 8:
A plane-wave DFT calculation with PBE was carried out for crystalline RbLaAu2I6 at its relaxed geometry.

E = -0.2237 Ry/atom
E_form (uncorrected) = -838 kJ/mol of formula units

```
data_RbLaAu2I6
_cell_length_a 8.034
_cell_length_b 7.993
_cell_length_c 10.027
_cell_angle_alpha 90.26
_cell_angle_beta 112.90
_cell_angle_gamma 120.37
_space_group_name_H-M_alt 'P 1'
_space_group_IT_number 1
loop_
_space_group_symop_operation_xyz
'x,y,z'
loop_
_atom_site_label
_atom_site_fract_x
_atom_site_fract_y
_atom_site_fract_z
_atom_site_occupancy
I1 0.539 0.925 0.762 1
I2 0.142 0.391 0.195 1
I3 0.822 0.755 0.198 1
I4 0.852 0.602 0.768 1
I5 0.457 0.071 0.194 1
I6 0.173 0.248 0.764 1
Au1 0.519 0.253 0.777 1
Au2 0.468 0.737 0.183 1
Rb1 0.995 0.500 0.480 1
La1 0.998 0.997 0.980 1
```